Compound: BaH2Pd
Source: Alexandria via LeMat-Bulk
Functional: PBE
Structure: relaxed

a = 4.645 Å, b = 4.645 Å, c = 13.047 Å
α = 90.00°, β = 90.00°, γ = 120.00°
Fractional coordinates of all 12 atoms:
Ba  0.000  0.000  0.000
Ba  0.333  0.667  0.667
Ba  0.667  0.333  0.333
H  0.000  0.000  0.372
H  0.000  0.000  0.628
H  0.333  0.667  0.038
H  0.333  0.667  0.295
H  0.667  0.333  0.705
H  0.667  0.333  0.962
Pd  0.000  0.000  0.500
Pd  0.333  0.667  0.167
Pd  0.667  0.333  0.833

Energy above the lowest structure with this stoichiometry   0.000 eV/atom
Calculated total energy   -47.22 eV/cell

---

Compound: NdPu2Ga6
Source: Alexandria via LeMat-Bulk
Functional: PBE
Structure: relaxed

a = 7.835 Å, b = 7.835 Å, c = 3.571 Å
α = 90.00°, β = 90.00°, γ = 120.00°
Fractional coordinates of all 9 atoms:
Nd  0.000  0.000  0.000
Pu  0.333  0.667  0.000
Pu  0.667  0.333  0.000
Ga  0.000  0.335  0.500
Ga  0.000  0.665  0.500
Ga  0.335  0.000  0.500
Ga  0.335  0.335  0.500
Ga  0.665  0.000  0.500
Ga  0.665  0.665  0.500

Energy above the lowest structure with this stoichiometry   0.000 eV/atom
Calculated formation energy   -387 kJ/mol of formula units
Calculated total energy   -55.60 eV/cell

---

Compound: Nb2Te5Rh
Source: Alexandria via LeMat-Bulk
Functional: PBE
Structure: relaxed

a = 9.795 Å, b = 7.602 Å, c = 7.102 Å
α = 83.47°, β = 50.45°, γ = 46.09°
Fractional coordinates of all 8 atoms:
Nb  0.192  0.192  0.808
Nb  0.808  0.808  0.192
Te  0.000  0.000  0.000
Te  0.218  0.477  0.523
Te  0.477  0.218  0.782
Te  0.523  0.782  0.218
Te  0.782  0.523  0.477
Rh  0.500  0.500  0.500

Energy above the lowest structure with this stoichiometry   0.000 eV/atom
ΔE_f (raw)   -0.226 eV/atom
Calculated total energy   -45.00 eV/cell

---

Compound: ErZrSb
Source: Alexandria via LeMat-Bulk
Functional: PBE
Structure: relaxed

a = 9.106 Å, b = 8.528 Å, c = 7.019 Å
α = 70.95°, β = 62.28°, γ = 46.77°
Fractional coordinates of all 12 atoms:
Er  0.056  0.056  0.694
Er  0.306  0.306  0.944
Er  0.694  0.694  0.056
Er  0.944  0.944  0.306
Zr  0.000  0.500  0.500
Zr  0.500  0.000  0.500
Zr  0.500  0.500  0.000
Zr  0.500  0.500  0.500
Sb  0.056  0.694  0.694
Sb  0.306  0.944  0.944
Sb  0.694  0.056  0.056
Sb  0.944  0.306  0.306

ΔE_f (raw)   -0.084 eV/atom
Calculated total energy   -69.94 eV/cell